# 1
## K2CoPdBr (GGA-PBE)

Data for crystalline K2CoPdBr at its relaxed geometry.

Computed properties:
Fermi-level density of states = 3.3 states/eV per cell

```
K2CoPdBr
1.0
-5.420 -0.699 -3.165
0.163 -4.774 0.775
-3.235 0.761 5.370
K Co Br Pd
2 1 1 1
Direct
0.000 0.000 0.500
0.500 0.000 0.000
0.500 0.500 0.500
0.000 0.500 0.000
0.000 0.000 0.000
```



# 2
## KCoPtBr6 (GGA-PBE)

Data for crystalline KCoPtBr6 at its relaxed geometry.

Computed properties:
Fermi-level density of states = 6.5 states/eV per cell

```
KCoPtBr6
1.0
6.760 0.097 0.029
3.464 5.840 -0.048
0.032 -0.079 7.383
K Co Pt Br
1 1 1 6
Direct
0.997 0.997 0.000
0.341 0.339 0.499
0.667 0.666 0.500
0.994 0.369 0.303
0.369 0.994 0.696
0.635 0.366 0.695
0.000 0.630 0.692
0.367 0.636 0.308
0.629 0.002 0.306
```



# 3
## KPuCoBr6 (GGA-PBE)

Data for crystalline KPuCoBr6 at its relaxed geometry.

Computed properties:
Fermi-level density of states = 34.1 states/eV per cell

```
KPuCoBr6
1.0
-4.739 1.856 -8.315
-4.964 -2.718 7.938
-0.673 6.750 1.890
K Pu Co Br
2 2 2 12
Direct
0.000 0.000 0.000
0.000 0.000 0.500
0.333 0.667 0.250
0.667 0.333 0.750
0.667 0.333 0.250
0.333 0.667 0.750
0.144 0.713 0.977
0.570 0.856 0.977
0.856 0.570 0.477
0.430 0.144 0.023
0.287 0.856 0.523
0.570 0.713 0.523
0.713 0.570 0.023
0.144 0.430 0.523
0.430 0.287 0.477
0.287 0.430 0.977
0.713 0.144 0.477
0.856 0.287 0.023
```



# 4
## K3Rb3CoBr8 (GGA-PBE)

Data for crystalline K3Rb3CoBr8 at its relaxed geometry.

Computed properties:
Fermi-level density of states = 0.3 states/eV per cell

```
K3Rb3CoBr8
1.0
-8.535 -3.109 -2.508
7.539 -5.544 -1.080
-3.259 1.860 8.785
K Rb Co Br
3 3 1 8
Direct
0.500 0.000 0.500
0.500 0.500 0.500
0.000 0.500 0.500
0.000 0.000 0.000
0.000 0.500 0.000
0.500 0.500 0.000
0.000 0.000 0.500
0.254 0.509 0.263
0.746 0.491 0.737
0.800 0.600 0.307
0.200 0.400 0.693
0.800 0.007 0.307
0.200 0.993 0.693
0.206 0.007 0.307
0.794 0.993 0.693
```



# 5
## KRbCo2Br6 (GGA-PBE)

Data for crystalline KRbCo2Br6 at its relaxed geometry.

```
KRbCo2Br6
1.0
10.007 0.733 0.892
-0.498 10.021 0.892
-1.715 -1.940 7.066
K Rb Co Br
2 2 4 12
Direct
0.604 0.396 0.250
0.396 0.604 0.750
0.181 0.819 0.250
0.819 0.181 0.750
0.294 0.132 0.757
0.868 0.706 0.743
0.706 0.868 0.243
0.132 0.294 0.257
0.915 0.378 0.164
0.622 0.085 0.336
0.085 0.622 0.836
0.378 0.915 0.664
0.190 0.112 0.026
0.888 0.810 0.474
0.810 0.888 0.974
0.112 0.190 0.526
0.290 0.472 0.322
0.528 0.710 0.178
0.710 0.528 0.678
0.472 0.290 0.822
```



# 6
## KRbCo2Br8 (GGA-PBE)

Data for crystalline KRbCo2Br8 at its relaxed geometry.

Computed properties:
Fermi-level density of states = 12.3 states/eV per cell

```
KRbCo2Br8
1.0
7.190 0.000 0.000
3.595 6.227 0.000
3.595 2.076 10.052
K Rb Co Br
1 1 2 8
Direct
0.000 0.000 0.000
0.500 0.500 0.500
0.243 0.243 0.272
0.757 0.757 0.728
0.166 0.166 0.503
0.545 0.321 0.197
0.834 0.834 0.497
0.938 0.545 0.197
0.062 0.455 0.803
0.321 0.938 0.197
0.679 0.062 0.803
0.455 0.679 0.803
```



| no. | mass density (g/cm³) | size of the total moment (μB per cell) | calculated total energy (eV/atom) |
| --- | --- | --- | --- |
| 1 | 2.8 | 2.00 | -2.904 |
| 2 | 4.4 | 1.94 | -3.239 |
| 3 | 4.7 | 4.00 | -4.602 |
| 4 | 2.9 | 3.00 | -3.201 |
| 5 | 3.2 | 12.00 | -3.507 |
| 6 | 3.3 | 8.00 | -3.246 |